DFT (PBE with a Hubbard U) results for CoRh2F11 after structural relaxation.

M_tot, μB per atom: 0.43
Energy, eV for the cell shown: -121.493
SG: Ibam (72)

Cell: 8.140 8.140 8.140 Å, 118.44 108.39 102.02°
Fractional positions:
Co (0.250, 0.250, 0.000)
Co (0.750, 0.750, 0.000)
Rh (0.142, 0.684, 0.825)
Rh (0.358, 0.184, 0.542)
Rh (0.642, 0.816, 0.458)
Rh (0.858, 0.316, 0.175)
F (0.000, 0.500, 0.500)
F (0.088, 0.311, 0.138)
F (0.099, 0.440, 0.812)
F (0.128, 0.940, 0.341)
F (0.173, 0.950, 0.862)
F (0.211, 0.329, 0.540)
F (0.289, 0.829, 0.118)
F (0.327, 0.189, 0.777)
F (0.372, 0.713, 0.812)
F (0.401, 0.213, 0.341)
F (0.412, 0.550, 0.223)
F (0.500, 0.000, 0.500)
F (0.588, 0.450, 0.777)
F (0.599, 0.787, 0.659)
F (0.628, 0.287, 0.188)
F (0.673, 0.811, 0.223)
F (0.711, 0.171, 0.882)
F (0.789, 0.671, 0.460)
F (0.827, 0.050, 0.138)
F (0.872, 0.060, 0.659)
F (0.901, 0.560, 0.188)
F (0.912, 0.689, 0.862)